(a)
# Co3MoCl

A geometry-optimized Co3MoCl structure (PBE-GGA, Alexandria via LeMat-Bulk).

Output
As for the crystal system: cubic.

a = 4.098 Å, b = 4.098 Å, c = 4.098 Å
α = 90.00°, β = 90.00°, γ = 90.00°
Fractional positions:
Co  0.000  0.000  0.500
Co  0.000  0.500  0.000
Co  0.500  0.000  0.000
Mo  0.500  0.500  0.500
Cl  0.000  0.000  0.000

(b)
# Co3MoCl

A geometry-optimized Co3MoCl structure (PBE-GGA, Alexandria via LeMat-Bulk).

Output
As for the crystal system: cubic.

a = 4.541 Å, b = 4.541 Å, c = 4.541 Å
α = 90.00°, β = 90.00°, γ = 90.00°
Fractional positions:
Co  0.000  0.000  0.500
Co  0.000  0.500  0.000
Co  0.500  0.000  0.000
Mo  0.000  0.000  0.000
Cl  0.500  0.500  0.500

It turns out (a) is the most stable, with the second structure 52.1 kJ/mol of atoms higher.

(a)
# CoNCl

A geometry-optimized CoNCl structure (PBE-GGA, Alexandria via LeMat-Bulk).

Output
As for the crystal system: monoclinic.

a = 12.095 Å, b = 3.105 Å, c = 6.020 Å
α = 90.00°, β = 114.56°, γ = 90.00°
Fractional positions:
Co  0.162  0.000  0.069
Co  0.338  0.500  0.931
Co  0.662  0.500  0.069
Co  0.838  0.000  0.931
N  0.054  0.500  0.025
N  0.446  0.000  0.975
N  0.554  0.000  0.025
N  0.946  0.500  0.975
Cl  0.176  0.000  0.700
Cl  0.324  0.500  0.300
Cl  0.676  0.500  0.700
Cl  0.824  0.000  0.300

(b)
# CoNCl

A geometry-optimized CoNCl structure (PBE-GGA, Alexandria via LeMat-Bulk).

Output
As for the crystal system: monoclinic.

a = 11.296 Å, b = 4.849 Å, c = 3.497 Å
α = 90.00°, β = 90.09°, γ = 90.00°
Fractional positions:
Co  0.129  0.000  0.001
Co  0.371  0.500  0.999
Co  0.629  0.500  0.001
Co  0.871  0.000  0.999
N  0.053  0.000  0.500
N  0.447  0.500  0.500
N  0.553  0.500  0.500
N  0.947  0.000  0.500
Cl  0.161  0.500  0.001
Cl  0.339  0.000  0.999
Cl  0.661  0.000  0.001
Cl  0.839  0.500  0.999

It turns out (a) is the most stable, with the second structure 0.7 kJ/mol of atoms higher.

(a)
# CoSN2Cl

A geometry-optimized CoSN2Cl structure (PBE-GGA, Alexandria via LeMat-Bulk).

Output
As for the crystal system: tetragonal.

a = 3.463 Å, b = 3.463 Å, c = 7.249 Å
α = 90.00°, β = 90.00°, γ = 90.00°
Fractional positions:
Co  0.000  0.000  0.000
S  0.500  0.500  0.000
N  0.000  0.500  0.500
N  0.500  0.000  0.500
Cl  0.500  0.500  0.500

(b)
# CoSN2Cl

A geometry-optimized CoSN2Cl structure (PBE-GGA, Alexandria via LeMat-Bulk).

Output
As for the crystal system: tetragonal.

a = 3.540 Å, b = 3.540 Å, c = 5.703 Å
α = 90.00°, β = 90.00°, γ = 90.00°
Fractional positions:
Co  0.000  0.000  0.000
S  0.000  0.000  0.500
N  0.000  0.500  0.000
N  0.500  0.000  0.000
Cl  0.500  0.500  0.500

It turns out (b) is the most stable, with the second structure 99.4 kJ/mol of atoms higher.

(a)
# CoSe2NCl

A geometry-optimized CoSe2NCl structure (PBE-GGA, Alexandria via LeMat-Bulk).

Output
As for the crystal system: tetragonal.

a = 5.070 Å, b = 5.070 Å, c = 3.352 Å
α = 90.00°, β = 90.00°, γ = 90.00°
Fractional positions:
Co  0.000  0.000  0.000
Se  0.000  0.500  0.000
Se  0.500  0.000  0.000
N  0.000  0.000  0.500
Cl  0.500  0.500  0.500

(b)
# CoSe2NCl

A geometry-optimized CoSe2NCl structure (PBE-GGA, Alexandria via LeMat-Bulk).

Output
As for the crystal system: tetragonal.

a = 5.194 Å, b = 5.194 Å, c = 3.345 Å
α = 90.00°, β = 90.00°, γ = 90.00°
Fractional positions:
Co  0.000  0.000  0.000
Se  0.000  0.500  0.500
Se  0.500  0.000  0.500
N  0.500  0.500  0.000
Cl  0.500  0.500  0.500

It turns out (a) is the most stable, with the second structure 113.0 kJ/mol of atoms higher.

(a)
# CoSeN2Cl

A geometry-optimized CoSeN2Cl structure (PBE-GGA, Alexandria via LeMat-Bulk).

Output
As for the crystal system: tetragonal.

a = 3.620 Å, b = 3.620 Å, c = 5.511 Å
α = 90.00°, β = 90.00°, γ = 90.00°
Fractional positions:
Co  0.000  0.000  0.000
Se  0.000  0.000  0.500
N  0.000  0.500  0.000
N  0.500  0.000  0.000
Cl  0.500  0.500  0.500

(b)
# CoSeN2Cl

A geometry-optimized CoSeN2Cl structure (PBE-GGA, Alexandria via LeMat-Bulk).

Output
As for the crystal system: tetragonal.

a = 3.532 Å, b = 3.532 Å, c = 7.321 Å
α = 90.00°, β = 90.00°, γ = 90.00°
Fractional positions:
Co  0.000  0.000  0.000
Se  0.500  0.500  0.000
N  0.000  0.500  0.500
N  0.500  0.000  0.500
Cl  0.500  0.500  0.500

It turns out (a) is the most stable, with the second structure 105.4 kJ/mol of atoms higher.

(a)
# CoTeN2Cl

A geometry-optimized CoTeN2Cl structure (PBE-GGA, Alexandria via LeMat-Bulk).

Output
As for the crystal system: tetragonal.

a = 3.790 Å, b = 3.790 Å, c = 5.464 Å
α = 90.00°, β = 90.00°, γ = 90.00°
Fractional positions:
Co  0.000  0.000  0.000
Te  0.000  0.000  0.500
N  0.000  0.500  0.000
N  0.500  0.000  0.000
Cl  0.500  0.500  0.500

(b)
# CoTeN2Cl

A geometry-optimized CoTeN2Cl structure (PBE-GGA, Alexandria via LeMat-Bulk).

Output
As for the crystal system: tetragonal.

a = 3.684 Å, b = 3.684 Å, c = 7.590 Å
α = 90.00°, β = 90.00°, γ = 90.00°
Fractional positions:
Co  0.000  0.000  0.000
Te  0.500  0.500  0.000
N  0.000  0.500  0.500
N  0.500  0.000  0.500
Cl  0.500  0.500  0.500

It turns out (a) is the most stable, with the second structure 112.6 kJ/mol of atoms higher.

(a)
# Na2CoCl4

A geometry-optimized Na2CoCl4 structure (PBE-GGA, Alexandria via LeMat-Bulk).

Output
As for the crystal system: tetragonal.

a = 4.719 Å, b = 4.719 Å, c = 13.969 Å
α = 90.00°, β = 90.00°, γ = 90.00°
Fractional positions:
Na  0.000  0.000  0.137
Na  0.000  0.000  0.863
Na  0.500  0.500  0.363
Na  0.500  0.500  0.637
Co  0.000  0.000  0.500
Co  0.500  0.500  0.000
Cl  0.000  0.000  0.334
Cl  0.000  0.000  0.666
Cl  0.000  0.500  0.000
Cl  0.000  0.500  0.500
Cl  0.500  0.000  0.000
Cl  0.500  0.000  0.500
Cl  0.500  0.500  0.166
Cl  0.500  0.500  0.834

(b)
# Na2CoCl4

A geometry-optimized Na2CoCl4 structure (PBE-GGA, Alexandria via LeMat-Bulk).

Output
As for the crystal system: orthorhombic.

a = 9.740 Å, b = 8.418 Å, c = 7.442 Å
α = 75.49°, β = 56.80°, γ = 47.71°
Fractional positions:
Na  0.077  0.673  0.077
Na  0.327  0.923  0.327
Na  0.673  0.077  0.673
Na  0.923  0.327  0.923
Co  0.375  0.375  0.375
Co  0.625  0.625  0.625
Cl  0.173  0.732  0.346
Cl  0.248  0.346  0.732
Cl  0.268  0.827  0.752
Cl  0.346  0.248  0.173
Cl  0.654  0.752  0.827
Cl  0.732  0.173  0.248
Cl  0.752  0.654  0.268
Cl  0.827  0.268  0.654

It turns out (b) is the most stable, with the second structure 13.0 kJ/mol of atoms higher.

(a)
# Na3CoCl

A geometry-optimized Na3CoCl structure (PBE-GGA, Alexandria via LeMat-Bulk).

Output
As for the crystal system: cubic.

a = 5.449 Å, b = 5.449 Å, c = 5.449 Å
α = 90.00°, β = 90.00°, γ = 90.00°
Fractional positions:
Na  0.000  0.000  0.500
Na  0.000  0.500  0.000
Na  0.500  0.000  0.000
Co  0.000  0.000  0.000
Cl  0.500  0.500  0.500

(b)
# Na3CoCl

A geometry-optimized Na3CoCl structure (PBE-GGA, Alexandria via LeMat-Bulk).

Output
As for the crystal system: cubic.

a = 5.246 Å, b = 5.246 Å, c = 5.246 Å
α = 90.00°, β = 90.00°, γ = 90.00°
Fractional positions:
Na  0.000  0.000  0.500
Na  0.000  0.500  0.000
Na  0.500  0.000  0.000
Co  0.500  0.500  0.500
Cl  0.000  0.000  0.000

It turns out (b) is the most stable, with the second structure 20.0 kJ/mol of atoms higher.

(a)
# NaCoCl2

A geometry-optimized NaCoCl2 structure (PBE-GGA, Alexandria via LeMat-Bulk).

Output
As for the crystal system: cubic.

a = 6.595 Å, b = 6.595 Å, c = 6.595 Å
α = 90.00°, β = 90.00°, γ = 90.00°
Fractional positions:
Na  0.000  0.000  0.000
Na  0.000  0.500  0.500
Na  0.500  0.000  0.500
Na  0.500  0.500  0.000
Co  0.000  0.000  0.500
Co  0.000  0.500  0.000
Co  0.500  0.000  0.000
Co  0.500  0.500  0.500
Cl  0.250  0.250  0.250
Cl  0.250  0.250  0.750
Cl  0.250  0.750  0.250
Cl  0.250  0.750  0.750
Cl  0.750  0.250  0.250
Cl  0.750  0.250  0.750
Cl  0.750  0.750  0.250
Cl  0.750  0.750  0.750

(b)
# NaCoCl2

A geometry-optimized NaCoCl2 structure (PBE-GGA, Alexandria via LeMat-Bulk).

Output
As for the crystal system: tetragonal.

a = 5.834 Å, b = 5.834 Å, c = 11.117 Å
α = 90.00°, β = 90.00°, γ = 90.00°
Fractional positions:
Na  0.000  0.000  0.000
Na  0.000  0.500  0.250
Na  0.500  0.000  0.750
Na  0.500  0.500  0.500
Co  0.000  0.000  0.500
Co  0.000  0.500  0.750
Co  0.500  0.000  0.250
Co  0.500  0.500  0.000
Cl  0.193  0.250  0.625
Cl  0.250  0.693  0.875
Cl  0.250  0.807  0.375
Cl  0.307  0.250  0.125
Cl  0.693  0.750  0.125
Cl  0.750  0.193  0.375
Cl  0.750  0.307  0.875
Cl  0.807  0.750  0.625

It turns out (b) is the most stable, with the second structure 30.6 kJ/mol of atoms higher.

(a)
# NaCoSCl2

A geometry-optimized NaCoSCl2 structure (PBE-GGA, Alexandria via LeMat-Bulk).

Output
As for the crystal system: tetragonal.

a = 4.921 Å, b = 4.921 Å, c = 5.149 Å
α = 90.00°, β = 90.00°, γ = 90.00°
Fractional positions:
Na  0.000  0.000  0.000
Co  0.500  0.500  0.500
S  0.000  0.000  0.500
Cl  0.000  0.500  0.000
Cl  0.500  0.000  0.000

(b)
# NaCoSCl2

A geometry-optimized NaCoSCl2 structure (PBE-GGA, Alexandria via LeMat-Bulk).

Output
As for the crystal system: tetragonal.

a = 4.941 Å, b = 4.941 Å, c = 4.191 Å
α = 90.00°, β = 90.00°, γ = 90.00°
Fractional positions:
Na  0.000  0.000  0.000
Co  0.500  0.500  0.500
S  0.500  0.500  0.000
Cl  0.000  0.500  0.500
Cl  0.500  0.000  0.500

It turns out (b) is the most stable, with the second structure 108.8 kJ/mol of atoms higher.

(a)
# Nb2Co2Cl

A geometry-optimized Nb2Co2Cl structure (PBE-GGA, Alexandria via LeMat-Bulk).

Output
As for the crystal system: tetragonal.

a = 7.267 Å, b = 7.267 Å, c = 2.946 Å
α = 90.00°, β = 90.00°, γ = 90.00°
Fractional positions:
Nb  0.156  0.344  0.000
Nb  0.344  0.844  0.000
Nb  0.656  0.156  0.000
Nb  0.844  0.656  0.000
Co  0.130  0.630  0.500
Co  0.370  0.130  0.500
Co  0.630  0.870  0.500
Co  0.870  0.370  0.500
Cl  0.000  0.000  0.500
Cl  0.500  0.500  0.500

(b)
# Nb2Co2Cl

A geometry-optimized Nb2Co2Cl structure (PBE-GGA, Alexandria via LeMat-Bulk).

Output
As for the crystal system: tetragonal.

a = 4.281 Å, b = 4.281 Å, c = 9.478 Å
α = 90.00°, β = 90.00°, γ = 90.00°
Fractional positions:
Nb  0.000  0.500  0.250
Nb  0.000  0.500  0.750
Nb  0.500  0.000  0.250
Nb  0.500  0.000  0.750
Co  0.000  0.000  0.119
Co  0.000  0.000  0.881
Co  0.500  0.500  0.381
Co  0.500  0.500  0.619
Cl  0.000  0.000  0.500
Cl  0.500  0.500  0.000

It turns out (a) is the most stable, with the second structure 23.5 kJ/mol of atoms higher.

(a)
# NbCo3Cl

A geometry-optimized NbCo3Cl structure (PBE-GGA, Alexandria via LeMat-Bulk).

Output
As for the crystal system: cubic.

a = 4.605 Å, b = 4.605 Å, c = 4.605 Å
α = 90.00°, β = 90.00°, γ = 90.00°
Fractional positions:
Nb  0.000  0.000  0.000
Co  0.000  0.000  0.500
Co  0.000  0.500  0.000
Co  0.500  0.000  0.000
Cl  0.500  0.500  0.500

(b)
# NbCo3Cl

A geometry-optimized NbCo3Cl structure (PBE-GGA, Alexandria via LeMat-Bulk).

Output
As for the crystal system: cubic.

a = 4.102 Å, b = 4.102 Å, c = 4.102 Å
α = 90.00°, β = 90.00°, γ = 90.00°
Fractional positions:
Nb  0.000  0.000  0.000
Co  0.000  0.500  0.500
Co  0.500  0.000  0.500
Co  0.500  0.500  0.000
Cl  0.500  0.500  0.500

It turns out (b) is the most stable, with the second structure 71.8 kJ/mol of atoms higher.